VASP calculation (GGA-PBE) on a relaxed structure of VSn3I.

a b c (Å): 5.7993 5.7993 5.7993
angles (deg): 90.00 90.00 90.00
Element x y z (fractional)
V 0.0000 0.0000 0.0000
Sn 0.0000 0.5000 0.5000
Sn 0.5000 0.0000 0.5000
Sn 0.5000 0.5000 0.0000
I 0.5000 0.5000 0.5000

Values from the calculation:
space-group type: Pm-3m, No. 221
raw total energy: -15.96 eV per formula unit
total magnetization: 0.778 μB/atom
volume: 39.01 A^3/atom



VASP calculation (GGA-PBE) on a relaxed structure of Sn2WI.

a b c (Å): 8.3131 8.3131 8.3131
angles (deg): 132.34 132.34 69.69
Element x y z (fractional)
Sn 0.0362 0.6250 0.9112
Sn 0.3750 0.2862 0.4112
Sn 0.7138 0.1250 0.0888
Sn 0.8750 0.9638 0.5888
W 0.0000 0.0000 0.0000
W 0.7500 0.2500 0.5000
I 0.2500 0.7500 0.5000
I 0.5000 0.5000 0.0000

Values from the calculation:
space-group type: I-42d, No. 122
raw total energy: -18.44 eV per formula unit
total magnetization: 0.000 μB/atom
volume: 38.48 A^3/atom



VASP calculation (GGA-PBE) on a relaxed structure of SnWI3.

a b c (Å): 6.0552 6.0552 6.0552
angles (deg): 90.00 90.00 90.00
Element x y z (fractional)
Sn 0.0000 0.0000 0.0000
W 0.5000 0.5000 0.5000
I 0.0000 0.0000 0.5000
I 0.0000 0.5000 0.0000
I 0.5000 0.0000 0.0000

Values from the calculation:
space-group type: Pm-3m, No. 221
raw total energy: -15.56 eV per formula unit
total magnetization: 1.034 μB/atom
volume: 44.40 A^3/atom



| no. | distance to the lowest polymorph of the same formula (meV per atom) |
| --- | --- |
| 1 | 1187 |
| 2 | 0 |
| 3 | 487 |